Nd2NiC2 | PBE | optimized geometry

energy of formation from the pure elements	-0.056	eV/atom
E	-6.81	eV/atom
N(E_F)	3.3	states/eV/f.u.
crystal system	monoclinic

Lattice parameters (Å, degrees): 3.938 6.972 7.463 106.82 105.30 90.00
Atoms (fractional coordinates):
C1 0.908 0.470 0.550
Nd1 0.470 0.625 0.264
C2 0.642 0.970 0.550
Nd2 0.206 0.875 0.736
C3 0.092 0.530 0.450
Ni1 0.901 0.750 0.000
Ni2 0.099 0.250 0.000
Nd3 0.530 0.375 0.736
C4 0.358 0.030 0.450
Nd4 0.794 0.125 0.264

Pm3PrCu4 | PBE | optimized geometry

energy of formation from the pure elements	-0.150	eV/atom
E	-4.58	eV/atom
N(E_F)	6.2	states/eV/f.u.
crystal system	tetragonal

Lattice parameters (Å, degrees): 5.073 7.130 10.144 90.00 90.00 90.00
Atoms (fractional coordinates):
Cu1 0.000 0.755 0.750
Pm1 0.500 0.000 0.750
Pm2 0.500 0.500 0.250
Pm3 0.000 0.000 0.500
Cu2 0.500 0.755 0.000
Pm4 0.500 0.500 0.750
Cu3 0.000 0.245 0.750
Cu4 0.500 0.755 0.500
Pm5 0.000 0.000 0.000
Pm6 0.500 0.000 0.250
Cu5 0.500 0.245 0.500
Cu6 0.000 0.245 0.250
Cu7 0.500 0.245 0.000
Pr1 0.000 0.500 0.500
Cu8 0.000 0.755 0.250
Pr2 0.000 0.500 0.000

ZnIF2 | PBE | optimized geometry

E	-3.18	eV/atom
raw formation energy	-1.5362	eV/atom
N(E_F)	0.8	states/eV/f.u.
crystal system	trigonal

Lattice parameters (Å, degrees): 8.459 8.459 8.459 21.72 21.72 21.72
Atoms (fractional coordinates):
Zn1 0.500 0.500 0.500
I1 0.000 0.000 0.000
F1 0.872 0.872 0.872
F2 0.128 0.128 0.128

La2Mg3Sc | PBE | optimized geometry

energy of formation from the pure elements	-0.066	eV/atom
E	-3.56	eV/atom
N(E_F)	7.3	states/eV/f.u.
crystal system	tetragonal

Lattice parameters (Å, degrees): 3.665 3.665 12.625 90.00 90.00 90.00
Atoms (fractional coordinates):
Mg1 0.000 0.000 0.364
Sc1 0.500 0.500 0.500
La1 0.500 0.500 0.184
Mg2 0.000 0.000 0.636
La2 0.500 0.500 0.816
Mg3 0.000 0.000 0.000

Going through the records in order, we get magnetization values of 0.0 0.0 0.0 0.0 Bohr magnetons per cell.